(1)
Hf2GaCu: optimized geometry, PBE.

Geometry as CIF:
```
data_Hf2GaCu
_chemical_formula_sum 'Hf2 Ga1 Cu1'
_symmetry_space_group_name_H-M 'P 4/m m m'
_symmetry_Int_Tables_number 123
_symmetry_space_group_name_Hall '-P 4 2'
_cell_length_a 4.493
_cell_length_b 4.493
_cell_length_c 3.505
_cell_angle_alpha 90.00
_cell_angle_beta 90.00
_cell_angle_gamma 90.00
loop_
_atom_site_label
_atom_site_fract_x
_atom_site_fract_y
_atom_site_fract_z
Hf1 0.000 0.500 0.000
Ga1 0.000 0.000 0.500
Cu1 0.500 0.500 0.500
```

Output
- E_form (eV per formula unit) = -1.0



(2)
LaGdPd: optimized geometry, PBE.

Geometry as CIF:
```
data_LaGdPd
_chemical_formula_sum 'La2 Gd2 Pd2'
_symmetry_space_group_name_H-M 'I 4 m m'
_symmetry_Int_Tables_number 107
_symmetry_space_group_name_Hall 'I 4 -2'
_cell_length_a 3.676
_cell_length_b 3.676
_cell_length_c 12.206
_cell_angle_alpha 90.00
_cell_angle_beta 90.00
_cell_angle_gamma 90.00
loop_
_atom_site_label
_atom_site_fract_x
_atom_site_fract_y
_atom_site_fract_z
La1 0.000 0.000 0.000
Gd1 0.000 0.000 0.719
Pd1 0.000 0.000 0.349
```

Output
- E_form (eV per formula unit) = -1.5



(3)
Na10B17C3: optimized geometry, PBE.

Geometry as CIF:
```
data_Na10B17C3
_chemical_formula_sum 'Na10 B17 C3'
_symmetry_space_group_name_H-M 'P 1'
_symmetry_Int_Tables_number 1
_symmetry_space_group_name_Hall 'P 1'
_cell_length_a 5.077
_cell_length_b 7.844
_cell_length_c 9.159
_cell_angle_alpha 107.84
_cell_angle_beta 90.25
_cell_angle_gamma 108.20
loop_
_atom_site_label
_atom_site_fract_x
_atom_site_fract_y
_atom_site_fract_z
Na1 0.000 0.000 0.000
Na2 0.097 0.199 0.499
Na3 0.199 0.399 0.000
Na4 0.302 0.599 0.498
Na5 0.400 0.799 0.999
Na6 0.497 0.000 0.500
Na7 0.600 0.201 0.000
Na8 0.703 0.400 0.497
Na9 0.802 0.601 0.000
Na10 0.900 0.800 0.499
B1 0.014 0.699 0.750
B2 0.089 0.497 0.750
B3 0.199 0.711 0.249
B4 0.209 0.094 0.748
B5 0.289 0.903 0.749
B6 0.327 0.305 0.250
B7 0.356 0.081 0.249
B8 0.443 0.518 0.750
B9 0.468 0.297 0.749
B10 0.582 0.514 0.250
B11 0.622 0.882 0.749
B12 0.711 0.099 0.248
B13 0.782 0.887 0.249
B14 0.818 0.308 0.749
B15 0.867 0.100 0.748
B16 0.927 0.505 0.250
B17 0.975 0.294 0.249
C1 0.109 0.896 0.249
C2 0.518 0.705 0.249
C3 0.693 0.700 0.750
```

Output
- E_form (eV per formula unit) = 6.8



(4)
Tm2PuTl: optimized geometry, PBE.

Geometry as CIF:
```
data_Tm2PuTl
_chemical_formula_sum 'Tm2 Pu1 Tl1'
_symmetry_space_group_name_H-M 'P 4/m m m'
_symmetry_Int_Tables_number 123
_symmetry_space_group_name_Hall '-P 4 2'
_cell_length_a 3.477
_cell_length_b 3.477
_cell_length_c 9.100
_cell_angle_alpha 90.00
_cell_angle_beta 90.00
_cell_angle_gamma 90.00
loop_
_atom_site_label
_atom_site_fract_x
_atom_site_fract_y
_atom_site_fract_z
Tm1 0.000 0.000 0.239
Pu1 0.500 0.500 0.500
Tl1 0.500 0.500 0.000
```

Output
- E_form (eV per formula unit) = -0.3



(5)
Sn2Pd5Se: optimized geometry, PBE.

Geometry as CIF:
```
data_Sn2Pd5Se
_chemical_formula_sum 'Sn8 Pd20 Se4'
_symmetry_space_group_name_H-M 'C m c m'
_symmetry_Int_Tables_number 63
_symmetry_space_group_name_Hall '-C 2c 2'
_cell_length_a 3.138
_cell_length_b 15.398
_cell_length_c 13.480
_cell_angle_alpha 90.00
_cell_angle_beta 90.00
_cell_angle_gamma 90.00
loop_
_atom_site_label
_atom_site_fract_x
_atom_site_fract_y
_atom_site_fract_z
Sn1 0.000 0.126 0.088
Pd1 0.000 0.044 0.592
Pd2 0.000 0.229 0.583
Pd3 0.000 0.232 0.250
Se1 0.000 0.130 0.750
```

Output
- formation energy without anion corrections (meV per atom) = -211



(6)
YMn4S8: optimized geometry, PBE.

Geometry as CIF:
```
data_YMn4S8
_chemical_formula_sum 'Y3 Mn12 S24'
_symmetry_space_group_name_H-M 'R -3 m'
_symmetry_Int_Tables_number 166
_symmetry_space_group_name_Hall '-R 3 2"'
_cell_length_a 6.9005
_cell_length_b 6.9005
_cell_length_c 19.2916
_cell_angle_alpha 90.00
_cell_angle_beta 90.00
_cell_angle_gamma 120.00
loop_
_atom_site_label
_atom_site_fract_x
_atom_site_fract_y
_atom_site_fract_z
Y1 0.0000 0.0000 0.0000
Mn1 0.0000 0.0000 0.5000
Mn2 0.0000 0.5000 0.5000
S1 0.0000 0.0000 0.2322
S2 0.0080 0.5040 0.7647
```

Output
- formation energy without anion corrections (meV per atom) = -798



no.,M_tot (μB/atom),density of states at the Fermi level (states/eV per atom)
1,0.000,0.57
2,2.695,0.95
3,0.000,0.23
4,1.478,2.23
5,0.000,0.50
6,0.935,0.68